# KP2Se meta-GGA SCAN single point on PBEsol structure
data_KP2Se
_chemical_formula_sum 'K3 P6 Se3'
_cell_length_a 3.5520
_cell_length_b 3.5520
_cell_length_c 23.2168
_cell_angle_alpha 90.00
_cell_angle_beta 90.00
_cell_angle_gamma 120.00
_space_group_name_H-M_alt 'R 3 m'
_space_group_IT_number 160
_space_group_name_Hall 'R 3 -2"'
loop_
_atom_site_label
_atom_site_type_symbol
_atom_site_fract_x
_atom_site_fract_y
_atom_site_fract_z
_atom_site_occupancy
K1 K 0.0000 0.0000 0.0000 1
P1 P 0.0000 0.0000 0.2251 1
P2 P 0.0000 0.0000 0.5082 1
Se1 Se 0.0000 0.0000 0.7731 1
# **Mass density**: 3.5 g/cm3
# **Formation energy from raw total energies**: -180 meV per atom
# **V**: 84.56 Å³/f.u.
# **Calculated total energy**: -12.48 eV/atom